The following is a PBE-GGA calculation of crystalline TlZnMo2 at its relaxed geometry, from Alexandria via LeMat-Bulk.

total DFT energy (no corrections) = -5.74 eV per atom
Fermi-level density of states = 2.0 states/eV per cell
ΔH_f (0 K) = 56.6 kJ/mol of atoms

Lattice parameters (Å, degrees): 2.8156 2.8156 9.0162 90.00 90.00 104.78
With the nearest neighbours (Å) after each atom.
Element x y z (fractional)
Mo (0.0000, 0.0000, 0.9827)  2 Zn 2.71, 4 Mo 2.82, 2 Tl 2.96
Zn (0.5000, 0.5000, 0.7500)  4 Mo 2.71, 4 Zn 2.82
Mo (0.0000, 0.0000, 0.5173)  2 Zn 2.71, 4 Mo 2.82, 2 Tl 2.96
Tl (0.5000, 0.5000, 0.2500)  4 Tl 2.82, 4 Mo 2.96